[1]
PmPuTeBr | PBE | optimized geometry

a b c (Å): 7.5620 7.5620 7.5620
angles (deg): 90.00 90.00 90.00
Closest atoms and distances in Å follow each position.
Sites, in units of the cell vectors:
Pm (0.0000, 0.0000, 0.0000)  4 Br 3.27, 4 Te 3.27
Pm (0.0000, 0.5000, 0.5000)  4 Br 3.27, 4 Te 3.27
Pm (0.5000, 0.0000, 0.5000)  4 Br 3.27, 4 Te 3.27
Pm (0.5000, 0.5000, 0.0000)  4 Br 3.27, 4 Te 3.27
Pu (0.0000, 0.0000, 0.5000)  4 Te 3.27, 4 Br 3.27
Pu (0.0000, 0.5000, 0.0000)  4 Te 3.27, 4 Br 3.27
Pu (0.5000, 0.0000, 0.0000)  4 Te 3.27, 4 Br 3.27
Pu (0.5000, 0.5000, 0.5000)  4 Te 3.27, 4 Br 3.27
Te (0.2500, 0.2500, 0.7500)  4 Pm 3.27, 4 Pu 3.27
Te (0.2500, 0.7500, 0.2500)  4 Pm 3.27, 4 Pu 3.27
Te (0.7500, 0.2500, 0.2500)  4 Pm 3.27, 4 Pu 3.27
Te (0.7500, 0.7500, 0.7500)  4 Pm 3.27, 4 Pu 3.27
Br (0.2500, 0.2500, 0.2500)  4 Pu 3.27, 4 Pm 3.27
Br (0.2500, 0.7500, 0.7500)  4 Pm 3.27, 4 Pu 3.27
Br (0.7500, 0.2500, 0.7500)  4 Pm 3.27, 4 Pu 3.27
Br (0.7500, 0.7500, 0.2500)  4 Pm 3.27, 4 Pu 3.27

Output
**Raw total energy**: -6.98 eV per atom
**Formation energy without anion corrections**: -97 kJ/mol of atoms
**D(E_F)**: 36.6 states/eV/cell
**Crystal system**: cubic

---

[2]
Pr2HgBr2 | PBE | optimized geometry

a b c (Å): 4.2222 4.2222 34.3857
angles (deg): 90.00 90.00 120.00
Closest atoms and distances in Å follow each position.
Sites, in units of the cell vectors:
Pr (0.0000, 0.0000, 0.1075)  3 Br 3.06, 3 Hg 3.18
Pr (0.0000, 0.0000, 0.8925)  3 Br 3.06, 3 Hg 3.18
Pr (0.3333, 0.6667, 0.5592)  3 Br 3.06, 3 Hg 3.18
Pr (0.3333, 0.6667, 0.7741)  3 Br 3.06, 3 Hg 3.18
Pr (0.6667, 0.3333, 0.2259)  3 Br 3.06, 3 Hg 3.18
Pr (0.6667, 0.3333, 0.4408)  3 Br 3.06, 3 Hg 3.18
Hg (0.0000, 0.0000, 0.5000)  6 Pr 3.18
Hg (0.3333, 0.6667, 0.1667)  6 Pr 3.18
Hg (0.6667, 0.3333, 0.8333)  6 Pr 3.18
Br (0.0000, 0.0000, 0.2796)  3 Pr 3.06
Br (0.0000, 0.0000, 0.7204)  3 Pr 3.06
Br (0.3333, 0.6667, 0.3871)  3 Pr 3.06
Br (0.3333, 0.6667, 0.9462)  3 Pr 3.06
Br (0.6667, 0.3333, 0.0538)  3 Pr 3.06
Br (0.6667, 0.3333, 0.6129)  3 Pr 3.06

Output
**Raw total energy**: -3.82 eV per atom
**Formation energy without anion corrections**: -114 kJ/mol of atoms
**D(E_F)**: 7.1 states/eV/cell
**Crystal system**: trigonal

---

[3]
Li3B4C4 | PBE | optimized geometry

a b c (Å): 7.2691 9.4061 2.7294
angles (deg): 90.00 90.00 90.00
Closest atoms and distances in Å follow each position.
Sites, in units of the cell vectors:
Li (0.0000, 0.0000, 0.0000)  6 C 2.30-2.38, 6 B 2.34-2.36
Li (0.0080, 0.2734, 0.5000)  6 C 2.32-2.47, 6 B 2.36-2.52
Li (0.4920, 0.7734, 0.5000)  6 C 2.32-2.47, 6 B 2.36-2.52
Li (0.5000, 0.5000, 0.0000)  6 C 2.30-2.38, 6 B 2.34-2.36
Li (0.5080, 0.2266, 0.5000)  6 C 2.32-2.47, 6 B 2.36-2.52
Li (0.9920, 0.7266, 0.5000)  6 C 2.32-2.47, 6 B 2.36-2.52
B (0.2338, 0.8291, 0.0000)  3 C 1.57-1.58
B (0.2455, 0.0780, 0.5000)  3 C 1.57-1.58
B (0.2545, 0.5780, 0.5000)  3 C 1.57-1.58
B (0.2662, 0.3291, 0.0000)  3 C 1.57-1.58
B (0.7338, 0.6709, 0.0000)  3 C 1.57-1.58
B (0.7455, 0.4220, 0.5000)  3 C 1.57-1.58
B (0.7545, 0.9220, 0.5000)  3 C 1.57-1.58
B (0.7662, 0.1709, 0.0000)  3 C 1.57-1.58
C (0.2282, 0.9114, 0.5000)  3 B 1.57
C (0.2484, 0.6619, 0.0000)  3 B 1.58
C (0.2516, 0.1619, 0.0000)  3 B 1.58
C (0.2718, 0.4114, 0.5000)  3 B 1.57
C (0.7282, 0.5886, 0.5000)  3 B 1.57
C (0.7484, 0.8381, 0.0000)  3 B 1.58
C (0.7516, 0.3381, 0.0000)  3 B 1.58
C (0.7718, 0.0886, 0.5000)  3 B 1.57

Output
**Energy of formation**: -0.237 eV/atom
**Raw total energy**: -6.54 eV per atom
**D(E_F)**: 6.1 states/eV/cell
**Crystal system**: orthorhombic

---

[4]
Zn2FeBr | PBE | optimized geometry

a b c (Å): 3.8785 3.8785 9.4754
angles (deg): 90.00 90.00 90.00
Closest atoms and distances in Å follow each position.
Sites, in units of the cell vectors:
Zn (0.0000, 0.0000, 0.0000)  4 Fe 2.74, 4 Br 3.06, 4 Zn 3.06
Zn (0.0000, 0.5000, 0.2500)  4 Br 2.74, 4 Fe 3.06, 4 Zn 3.06
Zn (0.5000, 0.0000, 0.7500)  4 Br 2.74, 4 Fe 3.06, 4 Zn 3.06
Zn (0.5000, 0.5000, 0.5000)  4 Fe 2.74, 4 Br 3.06, 4 Zn 3.06
Fe (0.0000, 0.0000, 0.5000)  8 Zn 2.74-3.06, 4 Br 3.06
Fe (0.5000, 0.5000, 0.0000)  8 Zn 2.74-3.06, 4 Br 3.06
Br (0.0000, 0.5000, 0.7500)  8 Zn 2.74-3.06, 4 Fe 3.06
Br (0.5000, 0.0000, 0.2500)  8 Zn 2.74-3.06, 4 Fe 3.06

Output
**Raw total energy**: -2.65 eV per atom
**Formation energy without anion corrections**: 50 kJ/mol of atoms
**D(E_F)**: 7.4 states/eV/cell
**Crystal system**: tetragonal

---

[5]
AgTe2Rh | PBE | optimized geometry

a b c (Å): 4.9496 5.0658 7.8182
angles (deg): 90.00 90.00 90.00
Closest atoms and distances in Å follow each position.
Sites, in units of the cell vectors:
Ag (0.0000, 0.0000, 0.0000)  5 Te 2.72-2.80, 2 Rh 2.91
Ag (0.0000, 0.5000, 0.5000)  5 Te 2.72-2.80, 2 Rh 2.91
Te (0.0000, 0.0000, 0.6518)  3 Ag 2.72-2.80, 2 Rh 2.75
Te (0.0000, 0.5000, 0.1518)  3 Ag 2.72-2.80, 2 Rh 2.75
Te (0.5000, 0.0000, 0.1675)  3 Rh 2.75-2.84, 2 Ag 2.80
Te (0.5000, 0.5000, 0.6675)  3 Rh 2.75-2.84, 2 Ag 2.80
Rh (0.5000, 0.0000, 0.8047)  5 Te 2.75-2.84, 2 Ag 2.91
Rh (0.5000, 0.5000, 0.3047)  5 Te 2.75-2.84, 2 Ag 2.91

Output
**Raw total energy**: -4.17 eV per atom
**Formation energy without anion corrections**: -5 kJ/mol of atoms
**D(E_F)**: 3.8 states/eV/cell
**Crystal system**: orthorhombic

---

[6]
Sc8MnNi2 | PBE | optimized geometry

a b c (Å): 7.5239 7.5239 7.5239
angles (deg): 143.70 119.34 72.79
Closest atoms and distances in Å follow each position.
Sites, in units of the cell vectors:
Sc (0.1211, 0.3434, 0.7777)  3 Ni 2.73-2.94, 1 Mn 2.84, 2 Sc 3.04
Sc (0.1300, 0.1300, 0.0000)  2 Mn 2.82, 5 Sc 2.96-3.15, 2 Ni 3.12
Sc (0.3302, 0.0000, 0.3302)  1 Sc 2.58, 2 Ni 2.74
Sc (0.4344, 0.6566, 0.7777)  3 Ni 2.73-2.94, 1 Mn 2.84, 2 Sc 3.04
Sc (0.5656, 0.3434, 0.2223)  3 Ni 2.73-2.94, 1 Mn 2.84, 2 Sc 3.04
Sc (0.6698, 0.0000, 0.6698)  1 Sc 2.58, 2 Ni 2.74
Sc (0.8700, 0.8700, 0.0000)  2 Mn 2.82, 5 Sc 2.96-3.15, 2 Ni 3.12
Sc (0.8789, 0.6566, 0.2223)  3 Ni 2.73-2.94, 1 Mn 2.84, 2 Sc 3.04
Mn (0.0000, 0.5000, 0.5000)  8 Sc 2.82-2.84
Ni (0.3000, 0.8000, 0.5000)  8 Sc 2.73-2.94
Ni (0.7000, 0.2000, 0.5000)  8 Sc 2.73-2.94

Output
**Energy of formation**: -0.071 eV/atom
**Raw total energy**: -6.56 eV per atom
**D(E_F)**: 13.4 states/eV/cell
**Crystal system**: orthorhombic

---

[7]
RbHfN2F | PBE | optimized geometry

a b c (Å): 4.2178 4.2178 4.4888
angles (deg): 90.00 90.00 90.00
Closest atoms and distances in Å follow each position.
Sites, in units of the cell vectors:
Rb (0.0000, 0.0000, 0.0000)  4 F 2.98, 8 N 3.08
Hf (0.5000, 0.5000, 0.5000)  4 N 2.11, 2 F 2.24
N (0.0000, 0.5000, 0.5000)  2 Hf 2.11
N (0.5000, 0.0000, 0.5000)  2 Hf 2.11
F (0.5000, 0.5000, 0.0000)  2 Hf 2.24

Output
**Raw total energy**: -6.93 eV per atom
**Formation energy without anion corrections**: -100 kJ/mol of atoms
**D(E_F)**: 4.0 states/eV/cell
**Crystal system**: tetragonal

---

[8]
LiSm2ErTe5 | PBE | optimized geometry

a b c (Å): 9.5580 9.5580 13.1861
angles (deg): 90.00 90.00 153.60
Closest atoms and distances in Å follow each position.
Sites, in units of the cell vectors:
Li (0.0587, 0.9413, 0.5000)  4 Te 2.63-2.89
Li (0.9413, 0.0587, 0.0000)  4 Te 2.63-2.89
Sm (0.3731, 0.6269, 0.3374)  8 Te 3.20-3.47
Sm (0.3942, 0.6058, 0.7219)  8 Te 3.21-3.41
Sm (0.6058, 0.3942, 0.2219)  8 Te 3.21-3.41
Sm (0.6269, 0.3731, 0.8374)  8 Te 3.20-3.47
Er (0.3026, 0.6974, 0.0459)  6 Te 2.92-3.08
Er (0.6974, 0.3026, 0.5459)  6 Te 2.92-3.08
Te (0.0019, 0.9981, 0.8197)  1 Li 2.63
Te (0.1389, 0.8611, 0.0349)  1 Er 3.05, 4 Sm 3.35-3.41
Te (0.1893, 0.8107, 0.3820)  1 Li 2.89, 2 Er 3.08
Te (0.2177, 0.7823, 0.7045)  2 Er 3.05, 3 Sm 3.27-3.29
Te (0.4528, 0.5472, 0.1096)  2 Li 2.63, 1 Er 2.92
Te (0.5472, 0.4528, 0.6096)  2 Li 2.63, 1 Er 2.92
Te (0.7823, 0.2177, 0.2045)  2 Er 3.05, 3 Sm 3.27-3.29
Te (0.8107, 0.1893, 0.8820)  1 Li 2.89, 2 Er 3.08
Te (0.8611, 0.1389, 0.5349)  1 Er 3.05, 4 Sm 3.35-3.41
Te (0.9981, 0.0019, 0.3197)  1 Li 2.63

Output
**Raw total energy**: -4.80 eV per atom
**Formation energy without anion corrections**: -124 kJ/mol of atoms
**Crystal system**: orthorhombic

---

[9]
C3SeI | PBE | optimized geometry

a b c (Å): 4.2002 4.2002 4.2002
angles (deg): 90.00 90.00 90.00
Closest atoms and distances in Å follow each position.
Sites, in units of the cell vectors:
C (0.0000, 0.0000, 0.5000)  2 I 2.10
C (0.0000, 0.5000, 0.0000)  2 I 2.10
C (0.5000, 0.0000, 0.0000)  2 I 2.10
Se (0.5000, 0.5000, 0.5000)  12 C 2.97
I (0.0000, 0.0000, 0.0000)  6 C 2.10

Output
**Raw total energy**: -3.00 eV per atom
**Formation energy without anion corrections**: 342 kJ/mol of atoms
**D(E_F)**: 3.8 states/eV/cell
**Crystal system**: cubic

---

[10]
RbCd2GaS4 | PBE | optimized geometry

a b c (Å): 6.7041 6.7041 9.3035
angles (deg): 90.00 90.00 90.00
Closest atoms and distances in Å follow each position.
Sites, in units of the cell vectors:
Rb (0.0000, 0.0000, 0.0000)  4 S 3.16
Rb (0.5000, 0.5000, 0.5000)  4 S 3.16
Cd (0.0000, 0.5000, 0.2500)  4 S 2.62
Cd (0.0000, 0.5000, 0.7500)  4 S 2.62
Cd (0.5000, 0.0000, 0.2500)  4 S 2.62
Cd (0.5000, 0.0000, 0.7500)  4 S 2.62
Ga (0.0000, 0.0000, 0.5000)  4 S 2.29
Ga (0.5000, 0.5000, 0.0000)  4 S 2.29
S (0.1976, 0.1976, 0.3582)  1 Ga 2.29
S (0.1976, 0.8024, 0.6418)  1 Ga 2.29
S (0.3024, 0.3024, 0.8582)  1 Ga 2.29
S (0.3024, 0.6976, 0.1418)  1 Ga 2.29
S (0.6976, 0.3024, 0.1418)  1 Ga 2.29
S (0.6976, 0.6976, 0.8582)  1 Ga 2.29
S (0.8024, 0.1976, 0.6418)  1 Ga 2.29
S (0.8024, 0.8024, 0.3582)  1 Ga 2.29

Output
**Raw total energy**: -3.55 eV per atom
**Formation energy without anion corrections**: -73 kJ/mol of atoms
**Crystal system**: tetragonal

---

[11]
NbMoAu2 | PBE | optimized geometry

a b c (Å): 7.4991 7.4991 5.3443
angles (deg): 90.00 90.00 90.00
Closest atoms and distances in Å follow each position.
Sites, in units of the cell vectors:
Nb (0.0000, 0.0000, 0.0000)  2 Mo 2.67, 4 Au 2.77
Nb (0.0000, 0.5000, 0.2500)  2 Mo 2.67, 4 Au 2.77
Nb (0.5000, 0.0000, 0.7500)  2 Mo 2.67, 4 Au 2.77
Nb (0.5000, 0.5000, 0.5000)  2 Mo 2.67, 4 Au 2.77
Mo (0.0000, 0.0000, 0.5000)  2 Nb 2.67, 4 Au 2.70
Mo (0.0000, 0.5000, 0.7500)  2 Nb 2.67, 4 Au 2.70
Mo (0.5000, 0.0000, 0.2500)  2 Nb 2.67, 4 Au 2.70
Mo (0.5000, 0.5000, 0.0000)  2 Nb 2.67, 4 Au 2.70
Au (0.2434, 0.2500, 0.6250)  2 Au 2.67, 2 Mo 2.70, 2 Nb 2.77
Au (0.2500, 0.7434, 0.8750)  2 Au 2.67, 2 Mo 2.70, 2 Nb 2.77
Au (0.2500, 0.7566, 0.3750)  2 Au 2.67, 2 Mo 2.70, 2 Nb 2.77
Au (0.2566, 0.2500, 0.1250)  2 Au 2.67, 2 Mo 2.70, 2 Nb 2.77
Au (0.7434, 0.7500, 0.1250)  2 Au 2.67, 2 Mo 2.70, 2 Nb 2.77
Au (0.7500, 0.2434, 0.3750)  2 Au 2.67, 2 Mo 2.70, 2 Nb 2.77
Au (0.7500, 0.2566, 0.8750)  2 Au 2.67, 2 Mo 2.70, 2 Nb 2.77
Au (0.7566, 0.7500, 0.6250)  2 Au 2.67, 2 Mo 2.70, 2 Nb 2.77

Output
**Energy of formation**: 0.557 eV/atom
**Raw total energy**: -6.31 eV per atom
**D(E_F)**: 12.0 states/eV/cell
**Crystal system**: tetragonal

---

[12]
AcPm2Al2Zn2 | PBE | optimized geometry

a b c (Å): 10.2259 10.2259 10.2259
angles (deg): 26.02 26.02 26.02
Closest atoms and distances in Å follow each position.
Sites, in units of the cell vectors:
Ac (0.0000, 0.0000, 0.0000)  6 Al 3.51, 6 Zn 3.53, 2 Pm 3.89
Pm (0.1312, 0.1312, 0.1312)  3 Zn 3.09, 3 Al 3.10, 3 Pm 3.39
Pm (0.8688, 0.8688, 0.8688)  3 Zn 3.09, 3 Al 3.10, 3 Pm 3.39
Al (0.2562, 0.2562, 0.2562)  3 Zn 2.66
Al (0.7438, 0.7438, 0.7438)  3 Zn 2.66
Zn (0.4115, 0.4115, 0.4115)  3 Al 2.66
Zn (0.5885, 0.5885, 0.5885)  3 Al 2.66

Output
**Energy of formation**: -0.291 eV/atom
**Raw total energy**: -3.67 eV per atom
**D(E_F)**: 4.3 states/eV/cell
**Crystal system**: trigonal